The following is a DFT calculation (PBE) of a relaxed Cd2NiHg crystal.

Cell lengths 9.7415, 9.7415, 9.7415 Å; angles 18.19, 18.19, 18.19 degrees
Closest atoms and distances in Å follow each position.
Positions (direct):
Cd1 0.2500 0.2500 0.2500  9 Cd 3.08-3.29, 3 Hg 3.28
Cd2 0.0130 0.0130 0.0130  3 Ni 2.68
Hg1 0.4876 0.4876 0.4876  3 Ni 2.72
Ni1 0.7495 0.7495 0.7495  3 Cd 2.68, 3 Hg 2.72

Properties
* energy: -1.80 eV/atom